1.
The following is a DFT calculation (PBE) of a relaxed structure of Ce2Rh3Au2.

Geometry as CIF:
```
data_Ce2Rh3Au2
_symmetry_space_group_name_H-M 'C 1 2/m 1'
_symmetry_Int_Tables_number 12
_cell_length_a 9.534
_cell_length_b 4.184
_cell_length_c 6.755
_cell_angle_alpha 90.00
_cell_angle_beta 98.99
_cell_angle_gamma 90.00
loop_
_symmetry_equiv_pos_as_xyz
'x,y,z'
'-x,-y,-z'
'-x,y,-z'
'x,-y,z'
'x+1/2,y+1/2,z'
'-x+1/2,-y+1/2,-z'
'-x+1/2,y+1/2,-z'
'x+1/2,-y+1/2,z'
loop_
_atom_site_label
_atom_site_type_symbol
_atom_site_fract_x
_atom_site_fract_y
_atom_site_fract_z
Ce1 Ce 0.083 0.000 0.261
Rh1 Rh 0.000 0.500 0.500
Rh2 Rh 0.213 0.000 0.643
Au1 Au 0.142 0.500 0.924
```

Computed properties:
- E_tot: -89.62 eV per cell

***

2.
The following is a DFT calculation (PBE) of a relaxed structure of CeRhAu4.

Geometry as CIF:
```
data_CeRhAu4
_symmetry_space_group_name_H-M 'F -4 3 m'
_symmetry_Int_Tables_number 216
_symmetry_space_group_name_Hall 'F -4 2 3'
_cell_length_a 7.797
_cell_length_b 7.797
_cell_length_c 7.797
_cell_angle_alpha 90.00
_cell_angle_beta 90.00
_cell_angle_gamma 90.00
loop_
_atom_site_label
_atom_site_type_symbol
_atom_site_fract_x
_atom_site_fract_y
_atom_site_fract_z
Ce1 Ce 0.000 0.000 0.000
Rh1 Rh 0.250 0.250 0.750
Au1 Au 0.124 0.124 0.376
```

Computed properties:
- ΔE to the lowest computed polymorph: 176 meV/atom